1.
VASP calculation (PBE-GGA) on crystalline TbSmHg2 at its relaxed geometry.

Output
magnetic moment = 0.6 μB/f.u.
distance to the lowest polymorph of the same formula = 0 meV/atom
energy of formation = -476.2 meV per atom

The structure in CIF format:
```
data_TbSmHg2
_cell_length_a 3.752
_cell_length_b 3.752
_cell_length_c 7.590
_cell_angle_alpha 90.00
_cell_angle_beta 90.00
_cell_angle_gamma 90.00
_symmetry_space_group_name_H-M 'P 4/m m m'
_symmetry_Int_Tables_number 123
_symmetry_space_group_name_Hall '-P 4 2'
loop_
_atom_site_label
_atom_site_type_symbol
_atom_site_fract_x
_atom_site_fract_y
_atom_site_fract_z
Tb1 Tb 0.000 0.000 0.000
Sm1 Sm 0.000 0.000 0.500
Hg1 Hg 0.500 0.500 0.240
```

2.
VASP calculation (PBE-GGA) on crystalline TbSm8Hg6 at its relaxed geometry.

Output
magnetic moment = 2.5 μB/f.u.
energy of formation = -247.8 meV per atom

The structure in CIF format:
```
data_TbSm8Hg6
_cell_length_a 9.0756
_cell_length_b 9.0756
_cell_length_c 19.3245
_cell_angle_alpha 90.00
_cell_angle_beta 90.00
_cell_angle_gamma 120.00
_symmetry_space_group_name_H-M 'R -3'
_symmetry_Int_Tables_number 148
_symmetry_space_group_name_Hall '-R 3'
loop_
_atom_site_label
_atom_site_type_symbol
_atom_site_fract_x
_atom_site_fract_y
_atom_site_fract_z
Tb1 Tb 0.0000 0.0000 0.0000
Sm1 Sm 0.0000 0.0000 0.3343
Sm2 Sm 0.0023 0.3318 0.2187
Hg1 Hg 0.9999 0.3287 0.0545
```

3.
VASP calculation (PBE-GGA) on crystalline TbSm3Hg2 at its relaxed geometry.

Output
magnetic moment = 0.0 μB/f.u.
distance to the lowest polymorph of the same formula = 0 meV/atom
energy of formation = -340.2 meV per atom

The structure in CIF format:
```
data_TbSm3Hg2
_cell_length_a 5.223
_cell_length_b 9.449
_cell_length_c 7.111
_cell_angle_alpha 90.00
_cell_angle_beta 90.00
_cell_angle_gamma 90.00
_symmetry_space_group_name_H-M 'P m c 21'
_symmetry_Int_Tables_number 26
loop_
_symmetry_equiv_pos_as_xyz
'x,y,z'
'-x,-y,z+1/2'
'-x,y,z'
'x,-y,z+1/2'
loop_
_atom_site_label
_atom_site_type_symbol
_atom_site_fract_x
_atom_site_fract_y
_atom_site_fract_z
Tb1 Tb 0.000 0.054 0.000
Sm1 Sm 0.000 0.325 0.659
Sm2 Sm 0.500 0.172 0.312
Sm3 Sm 0.500 0.446 0.972
Hg1 Hg 0.000 0.349 0.219
Hg2 Hg 0.500 0.149 0.753
```

4.
VASP calculation (PBE-GGA) on crystalline TbSmHg4 at its relaxed geometry.

Output
magnetic moment = 0.0 μB/f.u.
distance to the lowest polymorph of the same formula = 132 meV/atom
energy of formation = -217.9 meV per atom

The structure in CIF format:
```
data_TbSmHg4
_cell_length_a 4.579
_cell_length_b 4.579
_cell_length_c 8.520
_cell_angle_alpha 90.00
_cell_angle_beta 90.00
_cell_angle_gamma 90.00
_symmetry_space_group_name_H-M 'P 4/m m m'
_symmetry_Int_Tables_number 123
_symmetry_space_group_name_Hall '-P 4 2'
loop_
_atom_site_label
_atom_site_type_symbol
_atom_site_fract_x
_atom_site_fract_y
_atom_site_fract_z
Tb1 Tb 0.000 0.000 0.000
Sm1 Sm 0.500 0.500 0.500
Hg1 Hg 0.000 0.500 0.245
```